# 1
Crystalline LaTcAs at its relaxed geometry, computed with PBE.

a = 6.783 Å, b = 6.783 Å, c = 6.783 Å
α = 90.00°, β = 90.00°, γ = 90.00°
Space group F-43m (No. 216)
Asymmetric unit:
La (0.000, 0.000, 0.000)
Tc (0.250, 0.250, 0.250)
As (0.250, 0.250, 0.750)

## Properties
distance to the lowest polymorph of the same formula	1274	meV per atom
ρ	6.6	g cm⁻³
DOS at the Fermi energy	25.981	states/eV/cell
DFT formation energy	779	meV per atom
E	-5.87	eV/atom

***

# 2
Crystalline PmSi2P at its relaxed geometry, computed with PBE.

a = 4.103 Å, b = 4.103 Å, c = 4.443 Å
α = 90.00°, β = 90.00°, γ = 90.00°
Space group P4/mmm (No. 123)
Asymmetric unit:
Pm (0.000, 0.000, 0.000)
Si (0.000, 0.500, 0.500)
P (0.500, 0.500, 0.000)

## Properties
ρ	5.2	g cm⁻³
DOS at the Fermi energy	1.390	states/eV/cell
E	-5.48	eV/atom
uncorrected formation energy	-0.2266	eV/atom

***

# 3
Crystalline Nb2TcSe4S2 at its relaxed geometry, computed with PBE.

a = 3.4103 Å, b = 3.4103 Å, c = 20.9256 Å
α = 90.00°, β = 90.00°, γ = 120.00°
Space group P3m1 (No. 156)
Asymmetric unit:
Nb (0.0000, 0.0000, 0.0000)
Nb (0.3333, 0.6667, 0.3369)
Tc (0.3333, 0.6667, 0.6825)
Se (0.0000, 0.0000, 0.2553)
Se (0.0000, 0.0000, 0.4187)
Se (0.3333, 0.6667, 0.0816)
Se (0.3333, 0.6667, 0.9183)
S (0.0000, 0.0000, 0.6149)
S (0.0000, 0.0000, 0.7502)

## Properties
ρ	5.2	g cm⁻³
DOS at the Fermi energy	8.679	states/eV/cell
E	-6.55	eV/atom
uncorrected formation energy	-0.6910	eV/atom

***

# 4
Crystalline Mo3RhN at its relaxed geometry, computed with PBE.

a = 4.098 Å, b = 4.098 Å, c = 4.098 Å
α = 90.00°, β = 90.00°, γ = 90.00°
Space group Pm-3m (No. 221)
Asymmetric unit:
Mo (0.000, 0.000, 0.500)
Rh (0.500, 0.500, 0.500)
N (0.000, 0.000, 0.000)

## Properties
distance to the lowest polymorph of the same formula	0	meV per atom
ρ	9.8	g cm⁻³
DOS at the Fermi energy	5.830	states/eV/cell
E	-9.80	eV/atom
uncorrected formation energy	-0.1687	eV/atom

***

# 5
Crystalline VIn at its relaxed geometry, computed with PBE.

a = 3.058 Å, b = 4.554 Å, c = 5.827 Å
α = 91.03°, β = 105.14°, γ = 106.05°
Space group P-1 (No. 2)
Asymmetric unit:
V (0.048, 0.287, 0.430)
In (0.260, 0.785, 0.149)

## Properties
ρ	7.3	g cm⁻³
DOS at the Fermi energy	3.067	states/eV/cell
DFT formation energy	307	meV per atom
E	-5.62	eV/atom

***

# 6
Crystalline ErMgIrRh at its relaxed geometry, computed with PBE.

a = 6.534 Å, b = 6.534 Å, c = 6.534 Å
α = 90.00°, β = 90.00°, γ = 90.00°
Space group F-43m (No. 216)
Asymmetric unit:
Er (0.000, 0.000, 0.000)
Mg (0.000, 0.000, 0.500)
Ir (0.250, 0.250, 0.750)
Rh (0.250, 0.250, 0.250)

## Properties
ρ	11.6	g cm⁻³
DOS at the Fermi energy	6.000	states/eV/cell
DFT formation energy	-681	meV per atom
E	-6.27	eV/atom

***

# 7
Crystalline VIn2Ga at its relaxed geometry, computed with PBE.

a = 2.930 Å, b = 2.930 Å, c = 9.530 Å
α = 90.00°, β = 90.00°, γ = 90.00°
Space group P4mm (No. 99)
Asymmetric unit:
V (0.000, 0.000, 0.000)
In (0.500, 0.500, 0.475)
In (0.500, 0.500, 0.785)
Ga (0.500, 0.500, 0.182)

## Properties
ρ	7.1	g cm⁻³
DOS at the Fermi energy	3.280	states/eV/cell
DFT formation energy	122	meV per atom
E	-4.28	eV/atom

***

# 8
Crystalline TiMo2SI at its relaxed geometry, computed with PBE.

a = 4.934 Å, b = 4.934 Å, c = 5.143 Å
α = 90.00°, β = 90.00°, γ = 90.00°
Space group P4/mmm (No. 123)
Asymmetric unit:
Ti (0.000, 0.000, 0.000)
Mo (0.000, 0.500, 0.500)
S (0.500, 0.500, 0.000)
I (0.500, 0.500, 0.500)

## Properties
ρ	5.3	g cm⁻³
DOS at the Fermi energy	5.694	states/eV/cell
E	-4.94	eV/atom
uncorrected formation energy	2.1085	eV/atom